Record 1
First-principles (GGA-PBE) data for an optimized crystal structure of ScSe3S, as listed in Alexandria.

## Properties
* crystal system: cubic
* energy relative to the lowest polymorph listed for this composition: 0.00 eV/f.u.

Lattice parameters (Å, degrees): 4.823 4.823 4.823 90.00 90.00 90.00
Space group Pm-3m (No. 221)
Asymmetric unit:
Sc (0.000, 0.000, 0.000) x1
Se (0.000, 0.500, 0.500) x3
S (0.500, 0.500, 0.500) x1

=====

Record 2
First-principles (GGA-PBE) data for an optimized crystal structure of Li2Co2Ge, as listed in Alexandria.

## Properties
* crystal system: tetragonal
* formation energy from the elements: -0.02 eV/atom

Lattice parameters (Å, degrees): 5.806 5.806 4.123 90.00 90.00 90.00
Space group P4/mbm (No. 127)
Asymmetric unit:
Li (0.168, 0.332, 0.000) x4
Co (0.134, 0.634, 0.500) x4
Ge (0.000, 0.000, 0.500) x2

=====

Record 3
First-principles (GGA-PBE) data for an optimized crystal structure of Tb2NdAg3, as listed in Alexandria.

## Properties
* crystal system: tetragonal
* formation energy from the elements: -0.30 eV/atom

Lattice parameters (Å, degrees): 3.666 3.666 11.172 90.00 90.00 90.00
Space group P4/mmm (No. 123)
Asymmetric unit:
Tb (0.000, 0.000, 0.163) x2
Nd (0.000, 0.000, 0.500) x1
Ag (0.500, 0.500, 0.000) x1
Ag (0.500, 0.500, 0.321) x2

=====

Record 4
First-principles (GGA-PBE) data for an optimized crystal structure of Ba2PSe, as listed in Alexandria.

## Properties
* crystal system: orthorhombic
* energy relative to the lowest polymorph listed for this composition: 0.38 eV/f.u.

Lattice parameters (Å, degrees): 5.157 4.208 12.555 90.00 90.00 90.00
Space group Amm2 (No. 38)
Asymmetric unit:
Ba (0.000, 0.000, 0.000) x2
Ba (0.500, 0.000, 0.242) x2
P (0.000, 0.000, 0.742) x2
Se (0.500, 0.000, 0.505) x2

=====

Record 5
First-principles (GGA-PBE) data for an optimized crystal structure of Ac3Sn2Pd9, as listed in Alexandria.

## Properties
* crystal system: orthorhombic
* formation energy from the elements: -0.69 eV/atom

Lattice parameters (Å, degrees): 4.231 10.623 13.516 90.00 90.00 90.00
Space group Immm (No. 71)
Asymmetric unit:
Ac (0.000, 0.000, 0.000) x2
Ac (0.000, 0.000, 0.299) x4
Sn (0.000, 0.207, 0.500) x4
Pd (0.000, 0.292, 0.130) x8
Pd (0.000, 0.370, 0.338) x8
Pd (0.000, 0.500, 0.000) x2

=====

Record 6
First-principles (GGA-PBE) data for an optimized crystal structure of Cs2PtAuN, as listed in Alexandria.

## Properties
* crystal system: tetragonal
* energy relative to the lowest polymorph listed for this composition: 0.39 eV/f.u.

Lattice parameters (Å, degrees): 6.898 6.898 3.731 90.00 90.00 90.00
Space group P4/mmm (No. 123)
Asymmetric unit:
Cs (0.000, 0.500, 0.000) x2
Pt (0.000, 0.000, 0.000) x1
Au (0.500, 0.500, 0.500) x1
N (0.000, 0.000, 0.500) x1

=====

Record 7
First-principles (GGA-PBE) data for an optimized crystal structure of La4TeP2, as listed in Alexandria.

## Properties
* crystal system: trigonal
* DFT total energy: -6.16 eV per atom

Lattice parameters (Å, degrees): 4.2766 4.2766 42.6733 90.00 90.00 120.00
Space group R-3m (No. 166, hexagonal axes)
Asymmetric unit:
La (0.0000, 0.0000, 0.1266) x6
La (0.0000, 0.0000, 0.2830) x6
Te (0.0000, 0.0000, 0.0000) x3
P (0.0000, 0.0000, 0.4223) x6

=====

Record 8
First-principles (GGA-PBE) data for an optimized crystal structure of CdPI3, as listed in Alexandria.

## Properties
* crystal system: cubic
* energy relative to the lowest polymorph listed for this composition: 0.00 eV/f.u.

Lattice parameters (Å, degrees): 5.566 5.566 5.566 90.00 90.00 90.00
Space group Pm-3m (No. 221)
Asymmetric unit:
Cd (0.000, 0.000, 0.000) x1
P (0.500, 0.500, 0.500) x1
I (0.000, 0.500, 0.500) x3

=====

Number 1: theoretical density 4.6 g/cm3, density of states at the Fermi level 0.37 states/eV/atom, calculated volume 112.2 Å³ per cell. Number 2: theoretical density 4.9 g/cm3, density of states at the Fermi level 0.89 states/eV/atom, calculated volume 139.0 Å³ per cell. Number 3: theoretical density 8.7 g/cm3, density of states at the Fermi level 0.54 states/eV/atom, calculated volume 150.2 Å³ per cell. Number 4: theoretical density 4.7 g/cm3, density of states at the Fermi level 0.84 states/eV/atom, calculated volume 272.4 Å³ per cell. Number 5: theoretical density 10.3 g/cm3, density of states at the Fermi level 0.56 states/eV/atom, calculated volume 607.4 Å³ per cell. Number 6: theoretical density 6.3 g/cm3, density of states at the Fermi level 0.67 states/eV/atom, calculated volume 177.5 Å³ per cell. Number 7: theoretical density 5.5 g/cm3, density of states at the Fermi level 0.72 states/eV/atom, calculated volume 675.9 Å³ per cell. Number 8: theoretical density 5.0 g/cm3, density of states at the Fermi level 0.82 states/eV/atom, calculated volume 172.5 Å³ per cell.